Entry 1:
# TlHg2Au2 (GGA-PBE, relaxed)
data_TlHg2Au2
_cell_length_a 8.738
_cell_length_b 8.738
_cell_length_c 3.028
_cell_angle_alpha 90.00
_cell_angle_beta 90.00
_cell_angle_gamma 90.00
_symmetry_space_group_name_H-M 'P 1'
_symmetry_Int_Tables_number 1
loop_
_symmetry_equiv_pos_as_xyz
'x,y,z'
loop_
_atom_site_label
_atom_site_fract_x
_atom_site_fract_y
_atom_site_fract_z
Tl1 0.500 0.500 0.000
Tl2 0.000 0.000 0.000
Au1 0.168 0.668 0.500
Au2 0.668 0.832 0.500
Au3 0.832 0.332 0.500
Au4 0.332 0.168 0.500
Hg1 0.631 0.131 0.000
Hg2 0.131 0.369 0.000
Hg3 0.369 0.869 0.000
Hg4 0.869 0.631 0.000
# Calculated density: 14.36 g cm⁻³
# Uncorrected energy: -1.852 eV per atom
# Energy of formation: 0.05 eV per atom



Entry 2:
# Tl2Hg5Au3 (GGA-PBE, relaxed)
data_Tl2Hg5Au3
_cell_length_a 4.470
_cell_length_b 8.113
_cell_length_c 14.190
_cell_angle_alpha 90.00
_cell_angle_beta 99.06
_cell_angle_gamma 90.00
_symmetry_space_group_name_H-M 'P 1'
_symmetry_Int_Tables_number 1
loop_
_symmetry_equiv_pos_as_xyz
'x,y,z'
loop_
_atom_site_label
_atom_site_fract_x
_atom_site_fract_y
_atom_site_fract_z
Au1 0.770 0.693 0.539
Au2 0.044 0.013 0.087
Au3 0.611 0.513 0.222
Au4 0.230 0.193 0.461
Au5 0.389 0.013 0.778
Au6 0.956 0.513 0.913
Hg1 0.124 0.247 0.248
Hg2 0.297 0.486 0.594
Hg3 0.600 0.898 0.201
Hg4 0.293 0.904 0.585
Hg5 0.948 0.123 0.895
Hg6 0.052 0.623 0.105
Hg7 0.876 0.747 0.752
Hg8 0.703 0.986 0.406
Hg9 0.707 0.404 0.415
Hg10 0.400 0.398 0.799
Tl1 0.523 0.293 0.046
Tl2 0.477 0.793 0.954
Tl3 0.176 0.695 0.353
Tl4 0.824 0.195 0.647
# Calculated density: 13.09 g cm⁻³
# Uncorrected energy: -1.605 eV per atom
# Energy of formation: 0.00 eV per atom